1.
Computed, not measured: LaIn2 after structural relaxation at the PBE-GGA level of DFT.

The structure in CIF format:
```
data_LaIn2
_cell_length_a 3.7456
_cell_length_b 3.7456
_cell_length_c 12.2975
_cell_angle_alpha 90.00
_cell_angle_beta 90.00
_cell_angle_gamma 90.00
_space_group_name_H-M_alt 'I 4/m m m'
_space_group_IT_number 139
_space_group_name_Hall '-I 4 2'
loop_
_atom_site_label
_atom_site_type_symbol
_atom_site_fract_x
_atom_site_fract_y
_atom_site_fract_z
La1 La 0.0000 0.0000 0.0000
In1 In 0.0000 0.0000 0.3187
```

Computed properties:
Density of states at the Fermi level, states/eV/f.u.: 2.2
Crystal system: tetragonal

***

2.
Computed, not measured: La4In5 after structural relaxation at the PBE-GGA level of DFT.

The structure in CIF format:
```
data_La4In5
_cell_length_a 9.7166
_cell_length_b 9.7166
_cell_length_c 6.7283
_cell_angle_alpha 90.00
_cell_angle_beta 90.00
_cell_angle_gamma 120.00
_space_group_name_H-M_alt 'P 63/m c m'
_space_group_IT_number 193
_space_group_name_Hall '-P 6c 2'
loop_
_atom_site_label
_atom_site_type_symbol
_atom_site_fract_x
_atom_site_fract_y
_atom_site_fract_z
La1 La 0.0000 0.0000 0.0000
La2 La 0.0000 0.3678 0.2500
In1 In 0.0000 0.3052 0.7500
In2 In 0.3333 0.6667 0.0000
```

Computed properties:
Density of states at the Fermi level, states/eV/f.u.: 8.5
Crystal system: hexagonal

***

3.
Computed, not measured: La5In after structural relaxation at the PBE-GGA level of DFT.

The structure in CIF format:
```
data_La5In
_cell_length_a 6.2873
_cell_length_b 6.2873
_cell_length_c 5.9086
_cell_angle_alpha 90.00
_cell_angle_beta 90.00
_cell_angle_gamma 120.00
_space_group_name_H-M_alt 'P -6 2 m'
_space_group_IT_number 189
_space_group_name_Hall 'P -6 -2'
loop_
_atom_site_label
_atom_site_type_symbol
_atom_site_fract_x
_atom_site_fract_y
_atom_site_fract_z
La1 La 0.0000 0.6914 0.0000
La2 La 0.3333 0.6667 0.5000
In1 In 0.0000 0.0000 0.5000
```

Computed properties:
Density of states at the Fermi level, states/eV/f.u.: 9.1
Energy relative to the lowest polymorph listed for this composition, meV per atom: 23
Crystal system: hexagonal

***

4.
Computed, not measured: La4In after structural relaxation at the PBE-GGA level of DFT.

The structure in CIF format:
```
data_La4In
_cell_length_a 6.0562
_cell_length_b 6.0562
_cell_length_c 6.0562
_cell_angle_alpha 90.00
_cell_angle_beta 90.00
_cell_angle_gamma 90.00
_space_group_name_H-M_alt 'P m -3 m'
_space_group_IT_number 221
_space_group_name_Hall '-P 4 2 3'
loop_
_atom_site_label
_atom_site_type_symbol
_atom_site_fract_x
_atom_site_fract_y
_atom_site_fract_z
La1 La 0.0000 0.0000 0.0000
La2 La 0.0000 0.5000 0.5000
In1 In 0.5000 0.5000 0.5000
```

Computed properties:
Density of states at the Fermi level, states/eV/f.u.: 10.5
Energy relative to the lowest polymorph listed for this composition, meV per atom: 540
Crystal system: cubic

***

5.
Computed, not measured: LaIn2 after structural relaxation at the PBE-GGA level of DFT.

The structure in CIF format:
```
data_LaIn2
_cell_length_a 3.4769
_cell_length_b 3.4769
_cell_length_c 8.2867
_cell_angle_alpha 90.00
_cell_angle_beta 90.00
_cell_angle_gamma 120.00
_space_group_name_H-M_alt 'P -3 m 1'
_space_group_IT_number 164
_space_group_name_Hall '-P 3 2"'
loop_
_atom_site_label
_atom_site_type_symbol
_atom_site_fract_x
_atom_site_fract_y
_atom_site_fract_z
La1 La 0.0000 0.0000 0.0000
In1 In 0.3333 0.6667 0.3462
```

Computed properties:
Density of states at the Fermi level, states/eV/f.u.: 3.0
Crystal system: trigonal

***

6.
Computed, not measured: LaIn5 after structural relaxation at the PBE-GGA level of DFT.

The structure in CIF format:
```
data_LaIn5
_cell_length_a 4.7921
_cell_length_b 13.7302
_cell_length_c 4.9433
_cell_angle_alpha 90.00
_cell_angle_beta 90.00
_cell_angle_gamma 90.00
_space_group_name_H-M_alt 'C m m m'
_space_group_IT_number 65
_space_group_name_Hall '-C 2 2'
loop_
_atom_site_label
_atom_site_type_symbol
_atom_site_fract_x
_atom_site_fract_y
_atom_site_fract_z
La1 La 0.0000 0.0000 0.0000
In1 In 0.0000 0.1687 0.5000
In2 In 0.0000 0.3235 0.0000
In3 In 0.0000 0.5000 0.5000
```

Computed properties:
Density of states at the Fermi level, states/eV/f.u.: 1.9
Energy relative to the lowest polymorph listed for this composition, meV per atom: 4
Crystal system: orthorhombic

***

7.
Computed, not measured: La2In after structural relaxation at the PBE-GGA level of DFT.

The structure in CIF format:
```
data_La2In
_cell_length_a 7.6805
_cell_length_b 7.6805
_cell_length_c 7.6805
_cell_angle_alpha 90.00
_cell_angle_beta 90.00
_cell_angle_gamma 90.00
_space_group_name_H-M_alt 'F m -3 m'
_space_group_IT_number 225
_space_group_name_Hall '-F 4 2 3'
loop_
_atom_site_label
_atom_site_type_symbol
_atom_site_fract_x
_atom_site_fract_y
_atom_site_fract_z
La1 La 0.2500 0.2500 0.2500
In1 In 0.0000 0.0000 0.0000
```

Computed properties:
Density of states at the Fermi level, states/eV/f.u.: 4.6
Crystal system: cubic

***

8.
Computed, not measured: La2In after structural relaxation at the PBE-GGA level of DFT.

The structure in CIF format:
```
data_La2In
_cell_length_a 12.7772
_cell_length_b 3.7297
_cell_length_c 8.6147
_cell_angle_alpha 90.00
_cell_angle_beta 109.11
_cell_angle_gamma 90.00
_space_group_name_H-M_alt 'C 1 m 1'
_space_group_IT_number 8
loop_
_space_group_symop_operation_xyz
'x,y,z'
'x,-y,z'
'x+1/2,y+1/2,z'
'x+1/2,-y+1/2,z'
loop_
_atom_site_label
_atom_site_type_symbol
_atom_site_fract_x
_atom_site_fract_y
_atom_site_fract_z
La1 La 0.0000 0.0000 0.0000
La2 La 0.0135 0.0000 0.5666
La3 La 0.1674 0.5000 0.3235
La4 La 0.2976 0.0000 0.6873
In1 In 0.2040 0.5000 0.9346
In2 In 0.3664 0.0000 0.2216
```

Computed properties:
Density of states at the Fermi level, states/eV/f.u.: 3.9
Crystal system: monoclinic

***

9.
Computed, not measured: La5In2 after structural relaxation at the PBE-GGA level of DFT.

The structure in CIF format:
```
data_La5In2
_cell_length_a 16.4661
_cell_length_b 6.0635
_cell_length_c 9.3605
_cell_angle_alpha 90.00
_cell_angle_beta 97.46
_cell_angle_gamma 90.00
_space_group_name_H-M_alt 'C 1 2/c 1'
_space_group_IT_number 15
loop_
_space_group_symop_operation_xyz
'x,y,z'
'-x,-y,-z'
'-x,y,-z+1/2'
'x,-y,z+1/2'
'x+1/2,y+1/2,z'
'-x+1/2,-y+1/2,-z'
'-x+1/2,y+1/2,-z+1/2'
'x+1/2,-y+1/2,z+1/2'
loop_
_atom_site_label
_atom_site_type_symbol
_atom_site_fract_x
_atom_site_fract_y
_atom_site_fract_z
La1 La 0.0000 0.2170 0.2500
La2 La 0.1266 0.2088 0.9530
La3 La 0.2233 0.3549 0.3227
In1 In 0.0807 0.3047 0.5988
```

Computed properties:
Density of states at the Fermi level, states/eV/f.u.: 8.1
Energy relative to the lowest polymorph listed for this composition, meV per atom: 4
Crystal system: monoclinic

***

10.
Computed, not measured: LaIn5 after structural relaxation at the PBE-GGA level of DFT.

The structure in CIF format:
```
data_LaIn5
_cell_length_a 6.2659
_cell_length_b 6.2659
_cell_length_c 4.9628
_cell_angle_alpha 90.00
_cell_angle_beta 90.00
_cell_angle_gamma 120.00
_space_group_name_H-M_alt 'P -6 2 m'
_space_group_IT_number 189
_space_group_name_Hall 'P -6 -2'
loop_
_atom_site_label
_atom_site_type_symbol
_atom_site_fract_x
_atom_site_fract_y
_atom_site_fract_z
La1 La 0.0000 0.0000 0.0000
In1 In 0.0000 0.6317 0.5000
In2 In 0.3333 0.6667 0.0000
```

Computed properties:
Density of states at the Fermi level, states/eV/f.u.: 4.8
Energy relative to the lowest polymorph listed for this composition, meV per atom: 126
Crystal system: hexagonal

***

11.
Computed, not measured: LaIn2 after structural relaxation at the PBE-GGA level of DFT.

The structure in CIF format:
```
data_LaIn2
_cell_length_a 6.9946
_cell_length_b 5.0052
_cell_length_c 9.8136
_cell_angle_alpha 90.00
_cell_angle_beta 90.00
_cell_angle_gamma 90.00
_space_group_name_H-M_alt 'P n m a'
_space_group_IT_number 62
loop_
_space_group_symop_operation_xyz
'x,y,z'
'-x,-y,-z'
'-x+1/2,-y,z+1/2'
'x+1/2,y,-z+1/2'
'x+1/2,-y+1/2,-z+1/2'
'-x+1/2,y+1/2,z+1/2'
'-x,y+1/2,-z'
'x,-y+1/2,z'
loop_
_atom_site_label
_atom_site_type_symbol
_atom_site_fract_x
_atom_site_fract_y
_atom_site_fract_z
La1 La 0.1586 0.2500 0.0874
In1 In 0.0567 0.2500 0.7327
In2 In 0.1447 0.2500 0.4184
```

Computed properties:
Density of states at the Fermi level, states/eV/f.u.: 1.6
Crystal system: orthorhombic

***

12.
Computed, not measured: La5In after structural relaxation at the PBE-GGA level of DFT.

The structure in CIF format:
```
data_La5In
_cell_length_a 9.6471
_cell_length_b 5.9896
_cell_length_c 7.0509
_cell_angle_alpha 90.00
_cell_angle_beta 93.08
_cell_angle_gamma 90.00
_space_group_name_H-M_alt 'C 1 2/m 1'
_space_group_IT_number 12
loop_
_space_group_symop_operation_xyz
'x,y,z'
'-x,-y,-z'
'-x,y,-z'
'x,-y,z'
'x+1/2,y+1/2,z'
'-x+1/2,-y+1/2,-z'
'-x+1/2,y+1/2,-z'
'x+1/2,-y+1/2,z'
loop_
_atom_site_label
_atom_site_type_symbol
_atom_site_fract_x
_atom_site_fract_y
_atom_site_fract_z
La1 La 0.0000 0.0000 0.0000
La2 La 0.1488 0.5000 0.1376
La3 La 0.1644 0.5000 0.6444
In1 In 0.0000 0.0000 0.5000
```

Computed properties:
Density of states at the Fermi level, states/eV/f.u.: 7.5
Energy relative to the lowest polymorph listed for this composition, meV per atom: 54
Crystal system: monoclinic

***

Number 1: E_form -0.3556 eV/atom, uncorrected energy -3.824 eV/atom. Number 2: E_form -0.4515 eV/atom, uncorrected energy -4.163 eV/atom. Number 3: E_form -0.1508 eV/atom, uncorrected energy -4.713 eV/atom. Number 4: E_form 0.2988 eV/atom, uncorrected energy -4.191 eV/atom. Number 5: E_form -0.1793 eV/atom, uncorrected energy -3.647 eV/atom. Number 6: E_form -0.2848 eV/atom, uncorrected energy -3.388 eV/atom. Number 7: E_form -0.1623 eV/atom, uncorrected energy -4.360 eV/atom. Number 8: E_form -0.2406 eV/atom, uncorrected energy -4.438 eV/atom. Number 9: E_form -0.2961 eV/atom, uncorrected energy -4.598 eV/atom. Number 10: E_form -0.1634 eV/atom, uncorrected energy -3.267 eV/atom. Number 11: E_form -0.4491 eV/atom, uncorrected energy -3.917 eV/atom. Number 12: E_form -0.1201 eV/atom, uncorrected energy -4.683 eV/atom.